An optimized crystal structure of LiNi2OF3. Source: Alexandria, functional GGA+U.

## Properties
* volume: 11.0 Å³ per atom
* excess energy over the best structure of this formula in the dataset: 0 meV/atom
* symmetry: Imm2
* density: 4265 kg/m³
* total DFT energy (no corrections): -127.32 eV per cell

Cell lengths 8.0164, 8.0164, 8.0164 Å; angles 136.95, 80.67, 115.56 degrees
Closest atoms and distances in Å follow each position.
Sites, in units of the cell vectors:
1 Li 0.1301 0.0000 0.1301  4 F 1.86-1.96
2 Li 0.6517 0.2874 0.3643  3 F 1.89-1.96, 1 O 1.92
3 Li 0.8699 0.0000 0.8699  4 F 1.86-1.96
4 Li 0.9231 0.2874 0.6357  3 F 1.89-1.96, 1 O 1.92
5 Ni 0.1225 0.6225 0.5000  5 F 1.95-2.09, 1 O 2.01
6 Ni 0.2702 0.1464 0.6399  3 O 1.97-2.11, 3 F 2.11-2.18
7 Ni 0.2702 0.6303 0.1238  3 O 1.97-2.11, 3 F 2.11-2.18
8 Ni 0.3786 0.6272 0.7514  1 O 1.93, 5 F 2.08-2.09
9 Ni 0.5066 0.1464 0.8762  3 O 1.97-2.11, 3 F 2.11-2.18
10 Ni 0.5066 0.6303 0.3601  3 O 1.97-2.11, 3 F 2.11-2.18
11 Ni 0.6581 0.6581 0.0000  5 F 1.96-2.09, 1 O 2.01
12 Ni 0.8758 0.6272 0.2486  1 O 1.93, 5 F 2.08-2.09
13 O 0.1732 0.4028 0.7705  1 Li 1.92, 3 Ni 1.93-1.97
14 O 0.3578 0.8578 0.5000  5 Ni 2.01-2.11
15 O 0.4231 0.4231 0.0000  5 Ni 2.01-2.05
16 O 0.6323 0.4028 0.2295  1 Li 1.92, 3 Ni 1.93-1.97
17 F 0.0110 0.3983 0.1353  1 Li 1.93, 3 Ni 2.08-2.15
18 F 0.0110 0.8756 0.6126  1 Li 1.93, 3 Ni 2.08-2.15
19 F 0.1334 0.8709 0.2625  1 Li 1.96, 3 Ni 2.09-2.11
20 F 0.2630 0.3983 0.3874  1 Li 1.93, 3 Ni 2.08-2.15
21 F 0.2630 0.8756 0.8647  1 Li 1.93, 3 Ni 2.08-2.15
22 F 0.5188 0.4028 0.6341  1 Li 1.96, 3 Ni 2.08-2.18
23 F 0.5188 0.8847 0.1160  1 Li 1.96, 3 Ni 2.08-2.18
24 F 0.6084 0.8709 0.7375  1 Li 1.96, 3 Ni 2.09-2.11
25 F 0.7687 0.4028 0.8840  1 Li 1.96, 3 Ni 2.08-2.18
26 F 0.7687 0.8847 0.3659  1 Li 1.96, 3 Ni 2.08-2.18
27 F 0.8877 0.8877 0.0000  2 Li 1.86, 1 Ni 1.96
28 F 0.8945 0.3945 0.5000  2 Li 1.89, 1 Ni 1.95